Entry 1:
Compound: CaIrS2
Source: Alexandria via LeMat-Bulk
Functional: PBE-GGA
Structure: relaxed

a = 4.584 Å, b = 4.584 Å, c = 4.584 Å
α = 60.00°, β = 60.00°, γ = 60.00°
Fractional coordinates of all 4 atoms:
Ca 0.000 0.000 0.000
Ir 0.500 0.500 0.500
S 0.250 0.250 0.250
S 0.750 0.750 0.750

Output
Formation energy from raw total energies   -0.3186 eV/atom
Density of states at the Fermi level   3.64 states/eV/f.u.
Electronic total energy   -5.098 eV/atom
Excess energy over the best structure of this formula in the dataset   1.64 eV/f.u.


Entry 2:
Compound: CaIrS3
Source: Alexandria via LeMat-Bulk
Functional: PBE-GGA
Structure: relaxed

a = 4.722 Å, b = 4.722 Å, c = 4.722 Å
α = 90.00°, β = 90.00°, γ = 90.00°
Site moments in Bohr magnetons follow the coordinates.
Fractional coordinates of all 5 atoms:
Ca 0.500 0.500 0.500  0.01
Ir 0.000 0.000 0.000  0.58
S 0.000 0.500 0.000  0.12
S 0.000 0.000 0.500  0.04
S 0.500 0.000 0.000  0.35

Output
Formation energy from raw total energies   -0.3773 eV/atom
Density of states at the Fermi level   5.32 states/eV/f.u.
Electronic total energy   -5.026 eV/atom
Excess energy over the best structure of this formula in the dataset   0.00 eV/f.u.


Entry 3:
Compound: Ca3IrS
Source: Alexandria via LeMat-Bulk
Functional: PBE-GGA
Structure: relaxed

a = 5.175 Å, b = 5.175 Å, c = 5.175 Å
α = 90.00°, β = 90.00°, γ = 90.00°
Fractional coordinates of all 5 atoms:
Ca 0.000 0.500 0.000
Ca 0.000 0.000 0.500
Ca 0.500 0.000 0.000
Ir 0.500 0.500 0.500
S 0.000 0.000 0.000

Output
Formation energy from raw total energies   -0.4358 eV/atom
Density of states at the Fermi level   3.19 states/eV/f.u.
Electronic total energy   -4.234 eV/atom
Excess energy over the best structure of this formula in the dataset   0.00 eV/f.u.


Entry 4:
Compound: CaSbIrS2
Source: Alexandria via LeMat-Bulk
Functional: PBE-GGA
Structure: relaxed

a = 4.646 Å, b = 5.622 Å, c = 4.646 Å
α = 90.00°, β = 90.00°, γ = 90.00°
Fractional coordinates of all 5 atoms:
Sb 0.000 0.500 0.000
Ca 0.500 0.500 0.500
Ir 0.000 0.000 0.000
S 0.000 0.000 0.500
S 0.500 0.000 0.000

Output
Formation energy from raw total energies   -0.1186 eV/atom
Density of states at the Fermi level   6.58 states/eV/f.u.
Electronic total energy   -4.767 eV/atom


Entry 5:
Compound: CaSb2IrS
Source: Alexandria via LeMat-Bulk
Functional: PBE-GGA
Structure: relaxed

a = 5.116 Å, b = 4.942 Å, c = 5.116 Å
α = 90.00°, β = 90.00°, γ = 90.00°
Fractional coordinates of all 5 atoms:
Sb 0.000 0.000 0.500
Sb 0.500 0.000 0.000
Ca 0.000 0.500 0.000
Ir 0.500 0.500 0.500
S 0.000 0.000 0.000

Output
Formation energy from raw total energies   0.4504 eV/atom
Density of states at the Fermi level   4.52 states/eV/f.u.
Electronic total energy   -4.197 eV/atom


Entry 6:
Compound: Ca2SbIrS
Source: Alexandria via LeMat-Bulk
Functional: PBE-GGA
Structure: relaxed

a = 5.111 Å, b = 5.120 Å, c = 5.111 Å
α = 90.00°, β = 90.00°, γ = 90.00°
Fractional coordinates of all 5 atoms:
Sb 0.000 0.500 0.000
Ca 0.000 0.000 0.500
Ca 0.500 0.000 0.000
Ir 0.500 0.500 0.500
S 0.000 0.000 0.000

Output
Formation energy from raw total energies   -0.0525 eV/atom
Density of states at the Fermi level   3.63 states/eV/f.u.
Electronic total energy   -4.275 eV/atom


Entry 7:
Compound: CaTeIrS2
Source: Alexandria via LeMat-Bulk
Functional: PBE-GGA
Structure: relaxed

a = 5.056 Å, b = 5.879 Å, c = 5.056 Å
α = 90.00°, β = 90.00°, γ = 90.00°
Site moments in Bohr magnetons follow the coordinates.
Fractional coordinates of all 5 atoms:
Ca 0.000 0.500 0.000  -0.01
Ir 0.500 0.500 0.500  2.01
Te 0.000 0.000 0.000  0.01
S 0.000 0.000 0.500  0.13
S 0.500 0.000 0.000  0.12

Output
Formation energy from raw total energies   0.9719 eV/atom
Density of states at the Fermi level   6.41 states/eV/f.u.
Electronic total energy   -3.480 eV/atom


Entry 8:
Compound: CaZnIrS2
Source: Alexandria via LeMat-Bulk
Functional: PBE-GGA
Structure: relaxed

a = 5.107 Å, b = 5.402 Å, c = 5.107 Å
α = 90.00°, β = 90.00°, γ = 90.00°
Site moments in Bohr magnetons follow the coordinates.
Fractional coordinates of all 5 atoms:
S 0.000 0.000 0.500  0.44
S 0.500 0.000 0.000  0.45
Zn 0.500 0.500 0.500  0.02
Ir 0.000 0.500 0.000  1.50
Ca 0.000 0.000 0.000  -0.01

Output
Formation energy from raw total energies   1.0796 eV/atom
Density of states at the Fermi level   6.00 states/eV/f.u.
Electronic total energy   -2.999 eV/atom


Entry 9:
Compound: CaSbIr4
Source: Alexandria via LeMat-Bulk
Functional: PBE-GGA
Structure: relaxed

a = 5.351 Å, b = 5.351 Å, c = 5.351 Å
α = 60.00°, β = 60.00°, γ = 60.00°
Fractional coordinates of all 6 atoms:
Ca 0.000 0.000 0.000
Sb 0.750 0.750 0.750
Ir 0.875 0.375 0.375
Ir 0.375 0.375 0.875
Ir 0.375 0.875 0.375
Ir 0.375 0.375 0.375

Output
Formation energy from raw total energies   -0.0753 eV/atom
Density of states at the Fermi level   6.22 states/eV/f.u.
Electronic total energy   -7.003 eV/atom


Entry 10:
Compound: CaSb2Ir2
Source: Alexandria via LeMat-Bulk
Functional: PBE-GGA
Structure: relaxed

a = 4.341 Å, b = 9.949 Å, c = 10.796 Å
α = 90.00°, β = 90.00°, γ = 90.00°
Fractional coordinates of all 20 atoms:
Ca 0.250 0.243 0.877
Ca 0.750 0.257 0.377
Ca 0.750 0.757 0.123
Ca 0.250 0.743 0.623
Sb 0.750 0.041 0.674
Sb 0.250 0.459 0.174
Sb 0.250 0.959 0.326
Sb 0.750 0.541 0.826
Sb 0.250 0.341 0.590
Sb 0.750 0.159 0.090
Sb 0.750 0.659 0.410
Sb 0.250 0.841 0.910
Ir 0.750 0.485 0.593
Ir 0.250 0.015 0.093
Ir 0.250 0.515 0.407
Ir 0.750 0.985 0.907
Ir 0.250 0.087 0.542
Ir 0.750 0.413 0.042
Ir 0.750 0.913 0.458
Ir 0.250 0.587 0.958

Output
Formation energy from raw total energies   -0.4581 eV/atom
Density of states at the Fermi level   2.39 states/eV/f.u.
Electronic total energy   -6.052 eV/atom


Entry 11:
Compound: CaSb12Ir4
Source: Alexandria via LeMat-Bulk
Functional: PBE-GGA
Structure: relaxed

a = 8.201 Å, b = 8.201 Å, c = 8.201 Å
α = 109.47°, β = 109.47°, γ = 109.47°
Fractional coordinates of all 17 atoms:
Ca 0.000 0.000 0.000
Sb 0.845 0.338 0.184
Sb 0.338 0.493 0.155
Sb 0.816 0.155 0.662
Sb 0.338 0.184 0.845
Sb 0.184 0.845 0.338
Sb 0.662 0.507 0.845
Sb 0.493 0.155 0.338
Sb 0.507 0.845 0.662
Sb 0.662 0.816 0.155
Sb 0.845 0.662 0.507
Sb 0.155 0.338 0.493
Sb 0.155 0.662 0.816
Ir 0.000 0.500 0.000
Ir 0.500 0.000 0.000
Ir 0.500 0.500 0.500
Ir 0.000 0.000 0.500

Output
Formation energy from raw total energies   -0.3663 eV/atom
Density of states at the Fermi level   3.87 states/eV/f.u.
Electronic total energy   -5.479 eV/atom


Entry 12:
Compound: Ca2SbIr
Source: Alexandria via LeMat-Bulk
Functional: PBE-GGA
Structure: relaxed

a = 5.324 Å, b = 5.324 Å, c = 5.324 Å
α = 127.67°, β = 127.51°, γ = 77.29°
Fractional coordinates of all 4 atoms:
Sb 0.250 0.750 0.500
Ca 0.999 0.999 0.000
Ca 0.501 0.501 0.000
Ir 0.750 0.250 0.500

Output
Formation energy from raw total energies   -0.4416 eV/atom
Density of states at the Fermi level   0.69 states/eV/f.u.
Electronic total energy   -4.688 eV/atom


Entry 13:
Compound: Ca2Sb2Ir
Source: Alexandria via LeMat-Bulk
Functional: PBE-GGA
Structure: relaxed

a = 7.134 Å, b = 7.134 Å, c = 4.858 Å
α = 90.00°, β = 90.00°, γ = 90.00°
Fractional coordinates of all 10 atoms:
Sb 0.351 0.851 0.000
Sb 0.851 0.649 0.000
Sb 0.649 0.149 0.000
Sb 0.149 0.351 0.000
Ca 0.168 0.668 0.500
Ca 0.668 0.832 0.500
Ca 0.832 0.332 0.500
Ca 0.332 0.168 0.500
Ir 0.000 0.000 0.000
Ir 0.500 0.500 0.000

Output
Formation energy from raw total energies   -0.5943 eV/atom
Density of states at the Fermi level   3.56 states/eV/f.u.
Electronic total energy   -4.816 eV/atom
Excess energy over the best structure of this formula in the dataset   0.77 eV/f.u.


Entry 14:
Compound: Ca3Sb3Ir2
Source: Alexandria via LeMat-Bulk
Functional: PBE-GGA
Structure: relaxed

a = 4.604 Å, b = 5.995 Å, c = 15.232 Å
α = 90.00°, β = 90.00°, γ = 112.58°
Fractional coordinates of all 16 atoms:
Ca 0.922 0.844 0.389
Ca 0.078 0.156 0.889
Ca 0.922 0.844 0.111
Ca 0.078 0.156 0.611
Ca 0.642 0.284 0.250
Ca 0.358 0.716 0.750
Sb 0.637 0.275 0.465
Sb 0.363 0.725 0.965
Sb 0.637 0.275 0.035
Sb 0.363 0.725 0.535
Sb 0.342 0.684 0.250
Sb 0.658 0.316 0.750
Ir 0.795 0.590 0.897
Ir 0.205 0.410 0.397
Ir 0.795 0.590 0.603
Ir 0.205 0.410 0.103

Output
Formation energy from raw total energies   -0.7443 eV/atom
Density of states at the Fermi level   3.38 states/eV/f.u.
Electronic total energy   -5.256 eV/atom


Entry 15:
Compound: Ca2SbIr
Source: Alexandria via LeMat-Bulk
Functional: PBE-GGA
Structure: relaxed

a = 3.354 Å, b = 3.354 Å, c = 8.514 Å
α = 90.00°, β = 90.00°, γ = 90.01°
Fractional coordinates of all 4 atoms:
Sb 0.500 0.500 0.750
Ca 0.000 0.000 0.041
Ca 0.000 0.000 0.459
Ir 0.500 0.500 0.250

Output
Formation energy from raw total energies   -0.4806 eV/atom
Density of states at the Fermi level   1.74 states/eV/f.u.
Electronic total energy   -4.727 eV/atom


Entry 16:
Compound: Ca2SbIr
Source: Alexandria via LeMat-Bulk
Functional: PBE-GGA
Structure: relaxed

a = 3.569 Å, b = 3.569 Å, c = 8.506 Å
α = 90.00°, β = 90.00°, γ = 90.00°
Fractional coordinates of all 4 atoms:
Sb 0.500 0.500 0.684
Ca 0.000 0.000 0.940
Ca 0.500 0.500 0.317
Ir 0.000 0.000 0.559

Output
Formation energy from raw total energies   -0.2496 eV/atom
Density of states at the Fermi level   3.91 states/eV/f.u.
Electronic total energy   -4.496 eV/atom


Entry 17:
Compound: Ca2SbIr
Source: Alexandria via LeMat-Bulk
Functional: PBE-GGA
Structure: relaxed

a = 4.630 Å, b = 4.630 Å, c = 4.258 Å
α = 90.00°, β = 90.00°, γ = 90.00°
Fractional coordinates of all 4 atoms:
Sb 0.000 0.500 0.500
Ca 0.000 0.000 0.000
Ca 0.500 0.500 0.000
Ir 0.500 0.000 0.500

Output
Formation energy from raw total energies   -0.4434 eV/atom
Density of states at the Fermi level   1.34 states/eV/f.u.
Electronic total energy   -4.690 eV/atom


Entry 18:
Compound: Ca3Sb3Ir
Source: Alexandria via LeMat-Bulk
Functional: PBE-GGA
Structure: relaxed

a = 4.464 Å, b = 6.161 Å, c = 15.150 Å
α = 90.88°, β = 81.53°, γ = 68.76°
Fractional coordinates of all 14 atoms:
Ca 0.506 0.374 0.614
Ca 0.494 0.626 0.386
Ca 0.288 0.181 0.243
Ca 0.712 0.819 0.757
Ca 0.402 0.273 0.923
Ca 0.598 0.727 0.077
Sb 0.838 0.789 0.536
Sb 0.162 0.211 0.464
Sb 0.126 0.820 0.927
Sb 0.874 0.180 0.073
Sb 0.002 0.749 0.248
Sb 0.998 0.251 0.752
Ir 0.775 0.059 0.391
Ir 0.225 0.941 0.609

Output
Formation energy from raw total energies   -0.7608 eV/atom
Density of states at the Fermi level   3.54 states/eV/f.u.
Electronic total energy   -4.651 eV/atom


Entry 19:
Compound: Ca2SbIr2
Source: Alexandria via LeMat-Bulk
Functional: PBE-GGA
Structure: relaxed

a = 5.354 Å, b = 5.354 Å, c = 4.777 Å
α = 90.00°, β = 90.00°, γ = 90.00°
Fractional coordinates of all 5 atoms:
Sb 0.500 0.500 0.500
Ca 0.000 0.500 0.000
Ca 0.500 0.000 0.000
Ir 0.000 0.000 0.000
Ir 0.000 0.000 0.500

Output
Formation energy from raw total energies   0.0726 eV/atom
Density of states at the Fermi level   4.96 states/eV/f.u.
Electronic total energy   -5.097 eV/atom
Excess energy over the best structure of this formula in the dataset   3.48 eV/f.u.


Entry 20:
Compound: CaSb2Ir
Source: Alexandria via LeMat-Bulk
Functional: PBE-GGA
Structure: relaxed

a = 4.231 Å, b = 5.157 Å, c = 5.171 Å
α = 67.45°, β = 90.00°, γ = 90.00°
Fractional coordinates of all 4 atoms:
Sb 0.000 0.935 0.936
Sb 0.000 0.565 0.564
Ca 0.500 0.250 0.250
Ir 0.500 0.750 0.750

Output
Formation energy from raw total energies   -0.4540 eV/atom
Density of states at the Fermi level   1.30 states/eV/f.u.
Electronic total energy   -5.231 eV/atom